[1]
A geometry-optimized TaCuSb2Te structure, computed with GGA-PBE.

Summary:
ΔE_f (raw)   1017 meV per atom
Distance to the lowest polymorph of the same formula   1.514 eV per formula unit
Density   8.34 g/cm3
Final energy   -0.16354 Ha/atom
DOS at the Fermi energy   5.81 states/eV per cell
SG   P4/mmm (123)

```
TaCuSb2Te
1.0
4.929 0.000 0.000
0.000 4.929 0.000
0.000 0.000 5.048
Ta Cu Sb Te
1 1 2 1
Direct
0.000 0.000 0.000 Ta
0.500 0.500 0.500 Cu
0.000 0.500 0.500 Sb
0.500 0.000 0.500 Sb
0.500 0.500 0.000 Te
```

=====

[2]
A geometry-optimized TaCuSb2Te structure, computed with GGA-PBE.

Summary:
ΔE_f (raw)   714 meV per atom
Distance to the lowest polymorph of the same formula   0.000 eV per formula unit
Density   6.66 g/cm3
Final energy   -0.17466 Ha/atom
DOS at the Fermi energy   5.11 states/eV per cell
SG   P4/mmm (123)

```
TaCuSb2Te
1.0
5.373 0.000 0.000
0.000 5.373 0.000
0.000 0.000 5.320
Ta Cu Sb Te
1 1 2 1
Direct
0.000 0.000 0.000 Ta
0.500 0.500 0.500 Cu
0.000 0.500 0.000 Sb
0.500 0.000 0.000 Sb
0.000 0.000 0.500 Te
```

=====

[3]
A geometry-optimized Tb4CuSb2 structure, computed with GGA-PBE.

Summary:
ΔE_f (raw)   -526 meV per atom
Density   7.38 g/cm3
Final energy   -0.18136 Ha/atom
DOS at the Fermi energy   12.69 states/eV per cell
SG   C2/m (12)

```
Tb4CuSb2
1.0
15.467 0.000 0.000
0.000 4.232 0.000
-3.491 0.000 6.481
Tb Cu Sb
8 2 4
Direct
0.114 0.000 0.445 Tb
0.114 0.500 0.948 Tb
0.386 0.000 0.052 Tb
0.386 0.500 0.555 Tb
0.614 0.000 0.948 Tb
0.614 0.500 0.445 Tb
0.886 0.000 0.555 Tb
0.886 0.500 0.052 Tb
0.000 0.000 0.000 Cu
0.500 0.500 0.000 Cu
0.247 0.500 0.745 Sb
0.253 0.000 0.255 Sb
0.747 0.000 0.745 Sb
0.753 0.500 0.255 Sb
```

=====

[4]
A geometry-optimized Tb2CuSb structure, computed with GGA-PBE.

Summary:
ΔE_f (raw)   -649 meV per atom
Distance to the lowest polymorph of the same formula   0.000 eV per formula unit
Density   8.42 g/cm3
Final energy   -0.18442 Ha/atom
DOS at the Fermi energy   8.14 states/eV per cell
SG   P2_1/m (11)

```
Tb2CuSb
1.0
6.067 0.000 0.000
0.000 4.160 0.000
-3.006 0.000 7.865
Tb Cu Sb
4 2 2
Direct
0.190 0.250 0.407 Tb
0.262 0.750 0.055 Tb
0.738 0.250 0.945 Tb
0.810 0.750 0.593 Tb
0.143 0.250 0.790 Cu
0.857 0.750 0.210 Cu
0.373 0.750 0.707 Sb
0.627 0.250 0.293 Sb
```

=====

[5]
A geometry-optimized Tb2CuSb4 structure, computed with GGA-PBE.

Summary:
ΔE_f (raw)   -690 meV per atom
Density   8.06 g/cm3
Final energy   -0.18204 Ha/atom
DOS at the Fermi energy   2.85 states/eV per cell
SG   P-4m2 (115)

```
Tb2CuSb4
1.0
4.366 0.000 0.000
0.000 4.366 0.000
0.000 0.000 9.392
Tb Cu Sb
2 1 4
Direct
0.000 0.500 0.238 Tb
0.500 0.000 0.762 Tb
0.500 0.500 0.000 Cu
0.000 0.000 0.500 Sb
0.000 0.500 0.856 Sb
0.500 0.000 0.144 Sb
0.500 0.500 0.500 Sb
```

=====

[6]
A geometry-optimized Tb2CuSb structure, computed with GGA-PBE.

Summary:
ΔE_f (raw)   -523 meV per atom
Distance to the lowest polymorph of the same formula   0.502 eV per formula unit
Density   8.60 g/cm3
Final energy   -0.17981 Ha/atom
DOS at the Fermi energy   3.30 states/eV per cell
SG   P4/mmm (123)

```
Tb2CuSb
1.0
4.973 0.000 0.000
0.000 4.973 0.000
0.000 0.000 3.929
Tb Cu Sb
2 1 1
Direct
0.000 0.500 0.000 Tb
0.500 0.000 0.000 Tb
0.000 0.000 0.500 Cu
0.500 0.500 0.500 Sb
```

=====

[7]
A geometry-optimized Tb3Cu3Sb4 structure, computed with GGA-PBE.

Summary:
ΔE_f (raw)   -739 meV per atom
Density   8.63 g/cm3
Final energy   -0.18395 Ha/atom
DOS at the Fermi energy   0.83 states/eV per cell
SG   I-43d (220)

```
Tb3Cu3Sb4
1.0
-4.806 4.806 4.806
4.806 -4.806 4.806
4.806 4.806 -4.806
Tb Cu Sb
6 6 8
Direct
0.125 0.875 0.250 Tb
0.250 0.125 0.875 Tb
0.375 0.625 0.750 Tb
0.625 0.750 0.375 Tb
0.750 0.375 0.625 Tb
0.875 0.250 0.125 Tb
0.125 0.750 0.875 Cu
0.250 0.625 0.375 Cu
0.375 0.250 0.625 Cu
0.625 0.375 0.250 Cu
0.750 0.875 0.125 Cu
0.875 0.125 0.750 Cu
0.000 0.161 0.500 Sb
0.000 0.661 0.500 Sb
0.161 0.500 0.000 Sb
0.339 0.339 0.339 Sb
0.500 0.000 0.161 Sb
0.500 0.000 0.661 Sb
0.661 0.500 0.000 Sb
0.839 0.839 0.839 Sb
```

=====

[8]
A geometry-optimized TbCuSb structure, computed with GGA-PBE.

Summary:
ΔE_f (raw)   -688 meV per atom
Density   8.50 g/cm3
Final energy   -0.18269 Ha/atom
DOS at the Fermi energy   1.58 states/eV per cell
SG   P3m1 (156)

```
TbCuSb
1.0
4.339 0.000 0.000
-2.169 3.757 0.000
0.000 0.000 4.126
Tb Cu Sb
1 1 1
Direct
0.000 0.000 0.000 Tb
0.667 0.333 0.536 Cu
0.333 0.667 0.493 Sb
```

=====

[9]
A geometry-optimized Tb8CuSb2 structure, computed with GGA-PBE.

Summary:
ΔE_f (raw)   -380 meV per atom
Density   8.36 g/cm3
Final energy   -0.17893 Ha/atom
DOS at the Fermi energy   11.58 states/eV per cell
SG   C2/m (12)

```
Tb8CuSb2
1.0
9.400 -2.402 0.000
9.400 2.402 0.000
-1.247 0.000 6.944
Tb Cu Sb
8 1 2
Direct
0.009 0.009 0.277 Tb
0.215 0.215 0.841 Tb
0.350 0.350 0.475 Tb
0.406 0.406 0.003 Tb
0.594 0.594 0.997 Tb
0.650 0.650 0.525 Tb
0.785 0.785 0.159 Tb
0.991 0.991 0.723 Tb
0.500 0.500 0.500 Cu
0.182 0.182 0.270 Sb
0.818 0.818 0.730 Sb
```

=====

[10]
A geometry-optimized Tb4CuSb structure, computed with GGA-PBE.

Summary:
ΔE_f (raw)   -238 meV per atom
Density   7.48 g/cm3
Final energy   -0.17252 Ha/atom
DOS at the Fermi energy   15.03 states/eV per cell
SG   P2_1/c (14)

```
Tb4CuSb
1.0
7.194 0.000 0.000
0.000 7.205 0.000
-0.320 0.000 7.037
Tb Cu Sb
8 2 2
Direct
0.144 0.166 0.180 Tb
0.144 0.334 0.680 Tb
0.329 0.645 0.130 Tb
0.329 0.855 0.630 Tb
0.671 0.145 0.370 Tb
0.671 0.355 0.870 Tb
0.856 0.666 0.320 Tb
0.856 0.834 0.820 Tb
0.000 0.000 0.500 Cu
0.000 0.500 0.000 Cu
0.500 0.000 0.000 Sb
0.500 0.500 0.500 Sb
```

=====

[11]
A geometry-optimized Tb12Cu6Sb structure, computed with GGA-PBE.

Summary:
ΔE_f (raw)   -236 meV per atom
Density   8.21 g/cm3
Final energy   -0.17164 Ha/atom
DOS at the Fermi energy   17.99 states/eV per cell
SG   Im-3 (204)

```
Tb12Cu6Sb
1.0
-4.958 4.958 4.958
4.958 -4.958 4.958
4.958 4.958 -4.958
Tb Cu Sb
12 6 1
Direct
0.113 0.301 0.812 Tb
0.188 0.490 0.301 Tb
0.188 0.887 0.699 Tb
0.301 0.188 0.490 Tb
0.301 0.812 0.113 Tb
0.490 0.301 0.188 Tb
0.510 0.699 0.812 Tb
0.699 0.188 0.887 Tb
0.699 0.812 0.510 Tb
0.812 0.113 0.301 Tb
0.812 0.510 0.699 Tb
0.887 0.699 0.188 Tb
0.124 0.500 0.624 Cu
0.376 0.876 0.500 Cu
0.500 0.376 0.876 Cu
0.500 0.624 0.124 Cu
0.624 0.124 0.500 Cu
0.876 0.500 0.376 Cu
0.000 0.000 0.000 Sb
```

=====

[12]
A geometry-optimized TbCu2Sb2 structure, computed with GGA-PBE.

Summary:
ΔE_f (raw)   -304 meV per atom
Density   7.70 g/cm3
Final energy   -0.16601 Ha/atom
DOS at the Fermi energy   3.04 states/eV per cell
SG   C2/c (15)

```
TbCu2Sb2
1.0
4.539 -5.359 0.000
4.539 5.359 0.000
-4.129 0.000 4.697
Tb Cu Sb
2 4 4
Direct
0.142 0.858 0.750 Tb
0.858 0.142 0.250 Tb
0.201 0.506 0.256 Cu
0.494 0.799 0.244 Cu
0.506 0.201 0.756 Cu
0.799 0.494 0.744 Cu
0.141 0.859 0.250 Sb
0.437 0.563 0.750 Sb
0.563 0.437 0.250 Sb
0.859 0.141 0.750 Sb
```

=====

[13]
A geometry-optimized TbCuSb structure, computed with GGA-PBE.

Summary:
ΔE_f (raw)   -699 meV per atom
Density   8.48 g/cm3
Final energy   -0.18310 Ha/atom
DOS at the Fermi energy   3.03 states/eV per cell
SG   Imm2 (44)

```
TbCuSb
1.0
4.359 0.000 0.000
0.000 8.197 0.000
0.000 0.000 7.547
Tb Cu Sb
4 4 4
Direct
0.000 0.000 0.000 Tb
0.000 0.500 0.025 Tb
0.500 0.000 0.525 Tb
0.500 0.500 0.500 Tb
0.000 0.171 0.340 Cu
0.000 0.829 0.340 Cu
0.500 0.329 0.840 Cu
0.500 0.671 0.840 Cu
0.000 0.252 0.674 Sb
0.000 0.748 0.674 Sb
0.500 0.248 0.174 Sb
0.500 0.752 0.174 Sb
```